Material: CeTh4Sc3Se8
Method: DFT, PBE
State: relaxed

Geometry as extended XYZ:
```
16
Lattice="-7.167 -0.240 -3.463 -2.637 -5.420 5.833 3.031 6.961 2.402" Properties=species:S:1:pos:R:3 pbc="T T T"
Ce -1.318 -2.710 2.917
Th -3.584 -0.120 -1.731
Th -2.068 3.361 -0.530
Th 0.000 0.000 0.000
Th 1.515 3.481 1.201
Sc -4.902 -2.830 1.185
Sc -3.387 0.651 2.386
Sc 0.197 0.771 4.118
Se -0.729 2.813 5.730
Se -2.191 -0.544 4.574
Se -1.027 2.039 1.984
Se -4.186 2.697 4.061
Se -2.588 -1.396 0.712
Se -5.747 -0.738 2.788
Se -4.582 1.845 0.199
Se -6.044 -1.512 -0.958
```

volume = 24.079 Å³/atom
total magnetic moment = 0.52 μB/cell
raw formation energy = -1.58 eV per atom
crystal system = trigonal

=====

Material: NpGaNi3
Method: DFT, PBE
State: relaxed

Geometry as extended XYZ:
```
20
Lattice="4.976 0.000 0.000 0.000 7.903 0.271 0.000 -2.250 7.425" Properties=species:S:1:pos:R:3 pbc="T T T"
Np 1.766 4.250 2.565
Np 3.210 1.403 5.131
Np 0.722 -0.827 6.141
Np 4.255 6.480 1.554
Ga 4.300 3.204 1.037
Ga 1.812 -0.378 2.811
Ga 0.676 2.449 6.659
Ga 3.165 6.031 4.885
Ni 0.860 1.885 4.059
Ni 1.629 6.962 0.482
Ni 2.976 1.675 2.334
Ni 0.487 1.152 1.514
Ni 2.001 3.979 5.362
Ni 4.117 3.768 3.637
Ni 4.385 -0.059 3.441
Ni 0.591 5.713 4.254
Ni 3.348 -1.308 7.214
Ni 4.489 4.502 6.182
Ni 3.079 2.767 7.289
Ni 1.897 2.886 0.406
```

volume = 14.752 Å³/atom
total magnetic moment = 13.30 μB/cell
crystal system = monoclinic

=====

Material: In2MoW
Method: DFT, PBE
State: relaxed

Geometry as extended XYZ:
```
4
Lattice="-0.605 -5.188 -1.819 1.405 -4.007 3.543 -3.313 4.363 -0.763" Properties=species:S:1:pos:R:3 pbc="T T T"
In 0.009 -0.104 0.019
In -1.768 -2.607 -0.879
Mo 0.382 -4.388 0.823
W -0.735 -2.331 1.861
```

volume = 18.957 Å³/atom
polymorph energy (0 for the lowest one) = 17.69 kJ/mol of atoms
total magnetic moment = 0.00 μB/cell
crystal system = orthorhombic

=====

Material: TbYZn
Method: DFT, PBE
State: relaxed

Geometry as extended XYZ:
```
3
Lattice="3.679 0.000 0.000 0.000 4.995 0.000 0.000 -2.498 4.326" Properties=species:S:1:pos:R:3 pbc="T T T"
Y 2.228 2.498 1.442
Zn 1.211 0.000 2.884
Tb 0.240 0.000 0.000
```

volume = 26.500 Å³/atom
polymorph energy (0 for the lowest one) = 16.00 kJ/mol of atoms
total magnetic moment = 0.00 μB/cell
crystal system = trigonal

=====

Material: Al2Co2W
Method: DFT, PBE
State: relaxed

Geometry as extended XYZ:
```
10
Lattice="6.935 0.000 0.000 0.000 6.935 0.000 0.000 0.000 2.673" Properties=species:S:1:pos:R:3 pbc="T T T"
Co 1.143 4.610 1.336
Co 4.610 5.793 1.336
Co 5.793 2.325 1.336
Co 2.325 1.143 1.336
Al 2.547 6.014 0.000
Al 6.014 4.389 0.000
Al 4.389 0.921 0.000
Al 0.921 2.547 0.000
W 0.000 0.000 0.000
W 3.468 3.468 0.000
```

volume = 12.854 Å³/atom
polymorph energy (0 for the lowest one) = 0.00 kJ/mol of atoms
total magnetic moment = 0.00 μB/cell
crystal system = tetragonal

=====

Material: Pm2As4Pd3Ru
Method: DFT, PBE
State: relaxed

Geometry as extended XYZ:
```
10
Lattice="-0.952 1.372 -3.903 -4.097 0.243 1.084 1.428 9.990 3.163" Properties=species:S:1:pos:R:3 pbc="T T T"
Pm -0.111 3.238 -1.143
Pm -0.985 7.559 2.897
As -2.524 0.807 -1.409
As 0.000 0.000 0.000
As 0.428 7.004 0.049
As -1.523 3.793 1.705
Pd 0.714 4.995 1.582
Pd 0.758 9.315 0.781
Pd -1.854 1.482 0.973
Ru -1.810 5.802 0.172
```

volume = 19.056 Å³/atom
total magnetic moment = 0.00 μB/cell
crystal system = tetragonal

=====

Material: CsZnBiAs2
Method: DFT, PBE
State: relaxed

Geometry as extended XYZ:
```
5
Lattice="-4.002 -3.362 1.886 3.023 0.145 6.672 -3.099 4.423 1.308" Properties=species:S:1:pos:R:3 pbc="T T T"
Cs 1.511 0.072 3.336
Zn -2.039 0.603 4.933
As -1.549 2.211 0.654
As -2.001 -1.681 0.943
Bi 0.000 0.000 0.000
```

volume = 45.238 Å³/atom
polymorph energy (0 for the lowest one) = 0.00 kJ/mol of atoms
total magnetic moment = 0.00 μB/cell
crystal system = tetragonal

=====

Material: Cs2Sn5Sb
Method: DFT, PBE
State: relaxed

Geometry as extended XYZ:
```
8
Lattice="6.269 -0.002 -3.428 -1.750 5.572 -3.194 0.519 0.997 8.390" Properties=species:S:1:pos:R:3 pbc="T T T"
Cs 4.356 1.659 0.515
Cs 0.378 4.492 0.692
Sn 3.562 4.816 3.356
Sn 4.347 2.325 4.784
Sn 0.900 4.818 4.810
Sn 1.684 2.326 6.238
Sn 4.288 5.546 0.399
Sb 0.438 0.594 0.795
```

volume = 41.116 Å³/atom
total magnetic moment = 0.00 μB/cell
raw formation energy = -0.13 eV per atom
crystal system = monoclinic

=====

Material: ThReO3
Method: DFT, PBE
State: relaxed

Geometry as extended XYZ:
```
5
Lattice="4.001 0.000 0.000 0.000 4.001 0.000 0.000 0.000 4.001" Properties=species:S:1:pos:R:3 pbc="T T T"
Th 0.000 0.000 0.000
Re 2.001 2.001 2.001
O 2.001 2.001 0.000
O 2.001 0.000 2.001
O 0.000 2.001 2.001
```

volume = 12.812 Å³/atom
total magnetic moment = 0.00 μB/cell
raw formation energy = -1.67 eV per atom
crystal system = cubic

=====

Material: CsGaS2Cl
Method: DFT, PBE
State: relaxed

Geometry as extended XYZ:
```
5
Lattice="-1.895 3.153 -3.069 -3.881 -2.773 -0.452 -2.458 2.736 4.329" Properties=species:S:1:pos:R:3 pbc="T T T"
Cs -4.117 1.558 0.404
S -1.940 -1.386 -0.226
S -0.948 1.577 -1.535
Ga 0.000 0.000 0.000
Cl -1.229 1.368 2.164
```

volume = 26.076 Å³/atom
polymorph energy (0 for the lowest one) = 0.00 kJ/mol of atoms
total magnetic moment = 0.52 μB/cell
raw formation energy = -0.65 eV per atom
crystal system = tetragonal

=====

Material: IrPt5
Method: DFT, PBE
State: relaxed

Geometry as extended XYZ:
```
6
Lattice="2.391 -4.141 0.000 2.391 4.141 0.000 0.000 0.000 4.719" Properties=species:S:1:pos:R:3 pbc="T T T"
Ir 0.000 0.000 2.359
Pt 1.604 -2.777 0.000
Pt 1.575 0.000 0.000
Pt 1.604 2.777 0.000
Pt 2.391 -1.380 2.359
Pt 2.391 1.380 2.359
```

volume = 15.575 Å³/atom
polymorph energy (0 for the lowest one) = 6.30 kJ/mol of atoms
total magnetic moment = 0.00 μB/cell
crystal system = hexagonal

=====

Material: Mg6CdNi
Method: DFT, PBE
State: relaxed

Geometry as extended XYZ:
```
8
Lattice="3.080 -5.323 0.000 3.080 5.323 0.000 0.000 0.000 4.850" Properties=species:S:1:pos:R:3 pbc="T T T"
Mg 4.622 0.893 0.000
Mg 1.538 0.893 0.000
Mg 3.080 -1.763 0.000
Mg 4.709 -0.979 2.425
Mg 1.451 -0.979 2.425
Mg 3.080 -3.558 2.425
Cd 3.080 1.787 2.425
Ni 3.080 3.707 0.000
```

volume = 19.879 Å³/atom
total magnetic moment = 0.00 μB/cell
crystal system = orthorhombic

=====

Number 1: uncorrected energy -6.7315 eV/atom. Number 2: uncorrected energy -6.7674 eV/atom. Number 3: uncorrected energy -6.8346 eV/atom. Number 4: uncorrected energy -4.1758 eV/atom. Number 5: uncorrected energy -7.0911 eV/atom. Number 6: uncorrected energy -6.0824 eV/atom. Number 7: uncorrected energy -2.5138 eV/atom. Number 8: uncorrected energy -3.3589 eV/atom. Number 9: uncorrected energy -8.6210 eV/atom. Number 10: uncorrected energy -3.4436 eV/atom. Number 11: uncorrected energy -6.4177 eV/atom. Number 12: uncorrected energy -2.0450 eV/atom.